First-principles (meta-GGA SCAN) data for SrInP at its PBEsol-relaxed geometry, as listed in the Alexandria database.

Results
Theoretical density = 4.71 Mg/m³
Final energy = -1.67655 Ry per atom
Magnetization = 0.00 Bohr magnetons per cell
Energy relative to the elements = -0.7905 eV per atom

Cell lengths 4.1421, 4.1421, 5.5396 Å; angles 90.00, 90.00, 120.00 degrees
Space group P3m1 (No. 156)
Unique sites:
Sr: 0.0000 0.0000 0.0000 x1
In: 0.6667 0.3333 0.5428 x1
P: 0.3333 0.6667 0.3176 x1

***

First-principles (meta-GGA SCAN) data for ZrTaIn2P at its PBEsol-relaxed geometry, as listed in the Alexandria database.

Results
Theoretical density = 6.29 Mg/m³
Fermi-level density of states = 0.78 states/eV/atom
Final energy = -2.45240 Ry per atom
Magnetization = 0.00 Bohr magnetons per cell
Energy relative to the elements = 1.5242 eV per atom

Cell lengths 5.3961, 5.3961, 4.8289 Å; angles 90.00, 90.00, 90.00 degrees
Space group P4/mmm (No. 123)
Unique sites:
Zr: 0.0000 0.0000 0.0000 x1
Ta: 0.0000 0.0000 0.5000 x1
In: 0.0000 0.5000 0.0000 x2
P: 0.5000 0.5000 0.5000 x1

***

> What is the final energy in the second record?

-2.45240 Ry per atom